[1]
# RuC2I | the Alexandria database | GGA-PBE | optimized geometry
data_RuC2I
_symmetry_space_group_name_H-M 'I 41/a m d'
_symmetry_Int_Tables_number 141
_cell_length_a 6.111
_cell_length_b 6.111
_cell_length_c 8.619
_cell_angle_alpha 90.00
_cell_angle_beta 90.00
_cell_angle_gamma 90.00
loop_
_symmetry_equiv_pos_as_xyz
'x,y,z'
'-x,-y,-z'
'-y+1/4,x+3/4,z+1/4'
'y+1/4,-x+3/4,-z+1/4'
'-x+1/2,-y,z+1/2'
'x+1/2,y,-z+1/2'
'y+1/4,-x+1/4,z+3/4'
'-y+1/4,x+1/4,-z+3/4'
'x,-y,-z'
'-x,y,z'
'-y+1/4,-x+1/4,-z+3/4'
'y+1/4,x+1/4,z+3/4'
'-x+1/2,y,-z+1/2'
'x+1/2,-y,z+1/2'
'y+1/4,x+3/4,-z+1/4'
'-y+1/4,-x+3/4,z+1/4'
'x+1/2,y+1/2,z+1/2'
'-x+1/2,-y+1/2,-z+1/2'
'-y+3/4,x+1/4,z+3/4'
'y+3/4,-x+1/4,-z+3/4'
'-x,-y+1/2,z'
'x,y+1/2,-z'
'y+3/4,-x+3/4,z+1/4'
'-y+3/4,x+3/4,-z+1/4'
'x+1/2,-y+1/2,-z+1/2'
'-x+1/2,y+1/2,z+1/2'
'-y+3/4,-x+3/4,-z+1/4'
'y+3/4,x+3/4,z+1/4'
'-x,y+1/2,-z'
'x,-y+1/2,z'
'y+3/4,x+1/4,-z+3/4'
'-y+3/4,-x+1/4,z+3/4'
loop_
_atom_site_label
_atom_site_type_symbol
_atom_site_fract_x
_atom_site_fract_y
_atom_site_fract_z
Ru1 Ru 0.000 0.250 0.375
C1 C 0.000 0.000 0.500
I1 I 0.000 0.250 0.875
# - Calculated volume: 322 Å³/cell
# - Uncorrected formation energy: 1445 meV/atom
# - Energy above the lowest structure with this stoichiometry: 0.0 meV/atom


[2]
# RuC2I | the Alexandria database | GGA-PBE | optimized geometry
data_RuC2I
_symmetry_space_group_name_H-M 'F m -3 m'
_symmetry_Int_Tables_number 225
_symmetry_space_group_name_Hall '-F 4 2 3'
_cell_length_a 5.788
_cell_length_b 5.788
_cell_length_c 5.788
_cell_angle_alpha 90.00
_cell_angle_beta 90.00
_cell_angle_gamma 90.00
loop_
_atom_site_label
_atom_site_type_symbol
_atom_site_fract_x
_atom_site_fract_y
_atom_site_fract_z
Ru1 Ru 0.000 0.000 0.000
C1 C 0.250 0.250 0.250
I1 I 0.000 0.000 0.500
# - Calculated volume: 194 Å³/cell
# - Uncorrected formation energy: 2630 meV/atom
# - Energy above the lowest structure with this stoichiometry: 1184.7 meV/atom


[3]
# SbRuCI2 | the Alexandria database | GGA-PBE | optimized geometry
data_SbRuCI2
_symmetry_space_group_name_H-M 'P 4/m m m'
_symmetry_Int_Tables_number 123
_symmetry_space_group_name_Hall '-P 4 2'
_cell_length_a 4.915
_cell_length_b 4.915
_cell_length_c 4.641
_cell_angle_alpha 90.00
_cell_angle_beta 90.00
_cell_angle_gamma 90.00
loop_
_atom_site_label
_atom_site_type_symbol
_atom_site_fract_x
_atom_site_fract_y
_atom_site_fract_z
Sb1 Sb 0.000 0.000 0.000
Ru1 Ru 0.500 0.500 0.000
C1 C 0.000 0.000 0.500
I1 I 0.000 0.500 0.500
# - Calculated volume: 112 Å³/cell
# - Uncorrected formation energy: 1684 meV/atom
# - Energy above the lowest structure with this stoichiometry: 0.0 meV/atom


[4]
# SbRuCI2 | the Alexandria database | GGA-PBE | optimized geometry
data_SbRuCI2
_symmetry_space_group_name_H-M 'P 4/m m m'
_symmetry_Int_Tables_number 123
_symmetry_space_group_name_Hall '-P 4 2'
_cell_length_a 5.498
_cell_length_b 5.498
_cell_length_c 5.001
_cell_angle_alpha 90.00
_cell_angle_beta 90.00
_cell_angle_gamma 90.00
loop_
_atom_site_label
_atom_site_type_symbol
_atom_site_fract_x
_atom_site_fract_y
_atom_site_fract_z
Sb1 Sb 0.000 0.000 0.000
Ru1 Ru 0.000 0.000 0.500
C1 C 0.500 0.500 0.000
I1 I 0.000 0.500 0.500
# - Calculated volume: 151 Å³/cell
# - Uncorrected formation energy: 1734 meV/atom
# - Energy above the lowest structure with this stoichiometry: 50.3 meV/atom


[5]
# Ru2CSeI | the Alexandria database | GGA-PBE | optimized geometry
data_Ru2CSeI
_symmetry_space_group_name_H-M 'P 4/m m m'
_symmetry_Int_Tables_number 123
_symmetry_space_group_name_Hall '-P 4 2'
_cell_length_a 3.994
_cell_length_b 3.994
_cell_length_c 7.254
_cell_angle_alpha 90.00
_cell_angle_beta 90.00
_cell_angle_gamma 90.00
loop_
_atom_site_label
_atom_site_type_symbol
_atom_site_fract_x
_atom_site_fract_y
_atom_site_fract_z
Ru1 Ru 0.000 0.500 0.000
C1 C 0.000 0.000 0.000
Se1 Se 0.500 0.500 0.500
I1 I 0.000 0.000 0.500
# - Calculated volume: 116 Å³/cell
# - Uncorrected formation energy: 1194 meV/atom


[6]
# Si2RuCI | the Alexandria database | GGA-PBE | optimized geometry
data_Si2RuCI
_symmetry_space_group_name_H-M 'P 4/m m m'
_symmetry_Int_Tables_number 123
_symmetry_space_group_name_Hall '-P 4 2'
_cell_length_a 5.414
_cell_length_b 5.414
_cell_length_c 4.861
_cell_angle_alpha 90.00
_cell_angle_beta 90.00
_cell_angle_gamma 90.00
loop_
_atom_site_label
_atom_site_type_symbol
_atom_site_fract_x
_atom_site_fract_y
_atom_site_fract_z
Si1 Si 0.000 0.500 0.000
Ru1 Ru 0.000 0.000 0.500
C1 C 0.500 0.500 0.500
I1 I 0.000 0.000 0.000
# - Calculated volume: 142 Å³/cell
# - Uncorrected formation energy: 3042 meV/atom


[7]
# TaRuC2I | the Alexandria database | GGA-PBE | optimized geometry
data_TaRuC2I
_symmetry_space_group_name_H-M 'P 4/m m m'
_symmetry_Int_Tables_number 123
_symmetry_space_group_name_Hall '-P 4 2'
_cell_length_a 4.147
_cell_length_b 4.147
_cell_length_c 5.278
_cell_angle_alpha 90.00
_cell_angle_beta 90.00
_cell_angle_gamma 90.00
loop_
_atom_site_label
_atom_site_type_symbol
_atom_site_fract_x
_atom_site_fract_y
_atom_site_fract_z
Ta1 Ta 0.000 0.000 0.000
Ru1 Ru 0.000 0.000 0.500
C1 C 0.000 0.500 0.000
I1 I 0.500 0.500 0.500
# - Calculated volume: 91 Å³/cell
# - Uncorrected formation energy: 1795 meV/atom


[8]
# TcRuCI | the Alexandria database | GGA-PBE | optimized geometry
data_TcRuCI
_symmetry_space_group_name_H-M 'P 3 m 1'
_symmetry_Int_Tables_number 156
_symmetry_space_group_name_Hall 'P 3 -2"'
_cell_length_a 3.3280
_cell_length_b 3.3280
_cell_length_c 6.4822
_cell_angle_alpha 90.00
_cell_angle_beta 90.00
_cell_angle_gamma 120.00
loop_
_atom_site_label
_atom_site_type_symbol
_atom_site_fract_x
_atom_site_fract_y
_atom_site_fract_z
Tc1 Tc 0.0000 0.0000 0.0000
Ru1 Ru 0.3333 0.6667 0.7057
C1 C 0.6667 0.3333 0.8485
I1 I 0.6667 0.3333 0.3414
# - Calculated volume: 62 Å³/cell
# - Uncorrected formation energy: 608 meV/atom
# - Energy above the lowest structure with this stoichiometry: 44.5 meV/atom


[9]
# TcRuCI | the Alexandria database | GGA-PBE | optimized geometry
data_TcRuCI
_symmetry_space_group_name_H-M 'P 3 m 1'
_symmetry_Int_Tables_number 156
_symmetry_space_group_name_Hall 'P 3 -2"'
_cell_length_a 3.3538
_cell_length_b 3.3538
_cell_length_c 6.7767
_cell_angle_alpha 90.00
_cell_angle_beta 90.00
_cell_angle_gamma 120.00
loop_
_atom_site_label
_atom_site_type_symbol
_atom_site_fract_x
_atom_site_fract_y
_atom_site_fract_z
Tc1 Tc 0.0000 0.0000 0.0000
Ru1 Ru 0.6667 0.3333 0.2696
C1 C 0.3333 0.6667 0.1354
I1 I 0.6667 0.3333 0.6648
# - Calculated volume: 66 Å³/cell
# - Uncorrected formation energy: 588 meV/atom
# - Energy above the lowest structure with this stoichiometry: 23.9 meV/atom


[10]
# TcRuCI | the Alexandria database | GGA-PBE | optimized geometry
data_TcRuCI
_symmetry_space_group_name_H-M 'P 3 m 1'
_symmetry_Int_Tables_number 156
_symmetry_space_group_name_Hall 'P 3 -2"'
_cell_length_a 3.3452
_cell_length_b 3.3452
_cell_length_c 6.8116
_cell_angle_alpha 90.00
_cell_angle_beta 90.00
_cell_angle_gamma 120.00
loop_
_atom_site_label
_atom_site_type_symbol
_atom_site_fract_x
_atom_site_fract_y
_atom_site_fract_z
Tc1 Tc 0.0000 0.0000 0.0000
Ru1 Ru 0.3333 0.6667 0.2706
C1 C 0.6667 0.3333 0.1239
I1 I 0.0000 0.0000 0.6071
# - Calculated volume: 66 Å³/cell
# - Uncorrected formation energy: 592 meV/atom
# - Energy above the lowest structure with this stoichiometry: 27.8 meV/atom


[11]
# TcRuCI | the Alexandria database | GGA-PBE | optimized geometry
data_TcRuCI
_symmetry_space_group_name_H-M 'R 3 m'
_symmetry_Int_Tables_number 160
_symmetry_space_group_name_Hall 'R 3 -2"'
_cell_length_a 3.3373
_cell_length_b 3.3373
_cell_length_c 20.2271
_cell_angle_alpha 90.00
_cell_angle_beta 90.00
_cell_angle_gamma 120.00
loop_
_atom_site_label
_atom_site_type_symbol
_atom_site_fract_x
_atom_site_fract_y
_atom_site_fract_z
Tc1 Tc 0.0000 0.0000 0.0000
Ru1 Ru 0.0000 0.0000 0.4265
C1 C 0.0000 0.0000 0.7167
I1 I 0.0000 0.0000 0.5584
# - Calculated volume: 195 Å³/cell
# - Uncorrected formation energy: 589 meV/atom
# - Energy above the lowest structure with this stoichiometry: 25.1 meV/atom


[12]
# TcRuCI | the Alexandria database | GGA-PBE | optimized geometry
data_TcRuCI
_symmetry_space_group_name_H-M 'C 1 m 1'
_symmetry_Int_Tables_number 8
_symmetry_space_group_name_Hall 'C -2y'
_cell_length_a 5.820
_cell_length_b 3.384
_cell_length_c 6.678
_cell_angle_alpha 90.00
_cell_angle_beta 107.00
_cell_angle_gamma 90.00
loop_
_atom_site_label
_atom_site_type_symbol
_atom_site_fract_x
_atom_site_fract_y
_atom_site_fract_z
Tc1 Tc 0.000 0.000 0.000
Ru1 Ru 0.071 0.500 0.716
C1 C 0.289 0.000 0.867
I1 I 0.286 0.500 0.359
# - Calculated volume: 126 Å³/cell
# - Uncorrected formation energy: 564 meV/atom
# - Energy above the lowest structure with this stoichiometry: 0.0 meV/atom